2
Lattice="-1.654 2.280 -2.184 0.763 -3.299 -1.113 -2.906 -1.047 1.109" Properties=species:S:1:pos:R:3 comment="ThC (PBE-GGA, relaxed)" crystal_system=hexagonal magmom_total_mub_per_atom=0.00 e_above_lowest_polymorph_ev_per_fu=0.661 space_group="P-6m2, No. 187" vol_a3_per_cell=36.1 e_tot_ev_per_atom=-8.26 pbc="T T T"
Th -0.769 -1.701 -1.193
C -3.028 -0.365 -0.996